Material: Rb2Zn2Mo3O12
Method: DFT, GGA-PBEsol
State: optimized geometry

```
data_Rb2Zn2Mo3O12
_chemical_formula_sum 'Rb8 Zn8 Mo12 O48'
_space_group_name_H-M_alt 'P 1 21/c 1'
_space_group_IT_number 14
_cell_length_a 7.037
_cell_length_b 9.269
_cell_length_c 20.513
_cell_angle_alpha 90.00
_cell_angle_beta 108.96
_cell_angle_gamma 90.00
loop_
_space_group_symop_operation_xyz
'x,y,z'
'-x,-y,-z'
'-x,y+1/2,-z+1/2'
'x,-y+1/2,z+1/2'
loop_
_atom_site_label
_atom_site_type_symbol
_atom_site_fract_x
_atom_site_fract_y
_atom_site_fract_z
Rb1 Rb 0.102 0.114 0.290
Rb2 Rb 0.298 0.524 0.095
Zn1 Zn 0.234 0.134 0.138
Zn2 Zn 0.437 0.593 0.561
Mo1 Mo 0.088 0.155 0.968
Mo2 Mo 0.299 0.712 0.399
Mo3 Mo 0.450 0.683 0.723
O1 O 0.045 0.205 0.410
O2 O 0.053 0.646 0.357
O3 O 0.141 0.247 0.048
O4 O 0.142 0.547 0.559
O5 O 0.288 0.680 0.225
O6 O 0.303 0.059 0.962
O7 O 0.320 0.623 0.864
O8 O 0.325 0.514 0.714
O9 O 0.334 0.194 0.702
O10 O 0.343 0.746 0.489
O11 O 0.479 0.215 0.853
O12 O 0.492 0.598 0.386
```

## Properties
E_form (uncorrected) ... -1.944 eV per atom